*i*
VASP calculation (PBE) on In3PRu after structural relaxation.

Lattice parameters (Å, degrees): 5.0754 5.0754 5.0754 90.00 90.00 90.00
Space group Pm-3m (No. 221)
One atom of each set of equivalent atoms:
In 0.0000 0.0000 0.5000 (multiplicity 3)
P 0.0000 0.0000 0.0000 (multiplicity 1)
Ru 0.5000 0.5000 0.5000 (multiplicity 1)

Its crystal system is cubic. Its density of states at the Fermi level is 0.90 states/eV/atom.


*ii*
VASP calculation (PBE) on In3PRu after structural relaxation.

Lattice parameters (Å, degrees): 5.1297 5.1297 5.1297 90.00 90.00 90.00
Space group Pm-3m (No. 221)
One atom of each set of equivalent atoms:
In 0.0000 0.0000 0.5000 (multiplicity 3)
P 0.5000 0.5000 0.5000 (multiplicity 1)
Ru 0.0000 0.0000 0.0000 (multiplicity 1)

Its crystal system is cubic. Its density of states at the Fermi level is 0.85 states/eV/atom.


Which structure wins on stability? *ii* wins.


*i*
VASP calculation (PBE) on InP2RuS after structural relaxation.

Lattice parameters (Å, degrees): 4.5001 4.5001 5.4719 90.00 90.00 90.00
Space group P4/mmm (No. 123)
One atom of each set of equivalent atoms:
In 0.0000 0.0000 0.0000 (multiplicity 1)
P 0.0000 0.5000 0.5000 (multiplicity 2)
Ru 0.5000 0.5000 0.5000 (multiplicity 1)
S 0.5000 0.5000 0.0000 (multiplicity 1)

Its crystal system is tetragonal. Its density of states at the Fermi level is 0.93 states/eV/atom.


*ii*
VASP calculation (PBE) on InP2RuS after structural relaxation.

Lattice parameters (Å, degrees): 4.9612 4.9612 4.9216 90.00 90.00 90.00
Space group P4/mmm (No. 123)
One atom of each set of equivalent atoms:
In 0.0000 0.0000 0.0000 (multiplicity 1)
P 0.0000 0.5000 0.0000 (multiplicity 2)
Ru 0.5000 0.5000 0.5000 (multiplicity 1)
S 0.0000 0.0000 0.5000 (multiplicity 1)

Its crystal system is tetragonal. Its density of states at the Fermi level is 1.10 states/eV/atom.


Which structure wins on stability? *i* wins.


*i*
VASP calculation (PBE) on ScInPS2 after structural relaxation.

Lattice parameters (Å, degrees): 5.1106 5.1106 5.1161 90.00 90.00 90.00
Space group P4/mmm (No. 123)
One atom of each set of equivalent atoms:
Sc 0.0000 0.0000 0.0000 (multiplicity 1)
In 0.5000 0.5000 0.5000 (multiplicity 1)
P 0.5000 0.5000 0.0000 (multiplicity 1)
S 0.0000 0.5000 0.5000 (multiplicity 2)

Its crystal system is tetragonal. Its density of states at the Fermi level is 0.69 states/eV/atom.


*ii*
VASP calculation (PBE) on ScInPS2 after structural relaxation.

Lattice parameters (Å, degrees): 5.3848 5.3848 5.7784 90.00 90.00 90.00
Space group P4/mmm (No. 123)
One atom of each set of equivalent atoms:
Sc 0.0000 0.0000 0.0000 (multiplicity 1)
In 0.5000 0.5000 0.5000 (multiplicity 1)
P 0.0000 0.0000 0.5000 (multiplicity 1)
S 0.0000 0.5000 0.0000 (multiplicity 2)

Its crystal system is tetragonal. Its density of states at the Fermi level is 1.07 states/eV/atom.


Which structure wins on stability? *ii* wins.


*i*
VASP calculation (PBE) on ScInP2S after structural relaxation.

Lattice parameters (Å, degrees): 5.0209 5.0209 4.8987 90.00 90.00 90.00
Space group P4/mmm (No. 123)
One atom of each set of equivalent atoms:
Sc 0.0000 0.0000 0.0000 (multiplicity 1)
In 0.5000 0.5000 0.5000 (multiplicity 1)
P 0.0000 0.5000 0.0000 (multiplicity 2)
S 0.0000 0.0000 0.5000 (multiplicity 1)

Its crystal system is tetragonal. Its density of states at the Fermi level is 1.01 states/eV/atom.


*ii*
VASP calculation (PBE) on ScInP2S after structural relaxation.

Lattice parameters (Å, degrees): 5.1633 5.1633 5.2401 90.00 90.00 90.00
Space group P4/mmm (No. 123)
One atom of each set of equivalent atoms:
Sc 0.0000 0.0000 0.0000 (multiplicity 1)
In 0.5000 0.5000 0.5000 (multiplicity 1)
P 0.0000 0.5000 0.5000 (multiplicity 2)
S 0.5000 0.5000 0.0000 (multiplicity 1)

Its crystal system is tetragonal. Its density of states at the Fermi level is 1.11 states/eV/atom.


Which structure wins on stability? *i* wins.


*i*
VASP calculation (PBE) on InSiPS2 after structural relaxation.

Lattice parameters (Å, degrees): 4.5660 4.5660 4.7240 90.00 90.00 90.00
Space group P4/mmm (No. 123)
One atom of each set of equivalent atoms:
In 0.0000 0.0000 0.0000 (multiplicity 1)
Si 0.5000 0.5000 0.5000 (multiplicity 1)
P 0.5000 0.5000 0.0000 (multiplicity 1)
S 0.0000 0.5000 0.5000 (multiplicity 2)

Its crystal system is tetragonal. Its density of states at the Fermi level is 0.94 states/eV/atom.


*ii*
VASP calculation (PBE) on InSiPS2 after structural relaxation.

Lattice parameters (Å, degrees): 4.9289 4.9289 5.1893 90.00 90.00 90.00
Space group P4/mmm (No. 123)
One atom of each set of equivalent atoms:
In 0.0000 0.0000 0.0000 (multiplicity 1)
Si 0.0000 0.0000 0.5000 (multiplicity 1)
P 0.5000 0.5000 0.5000 (multiplicity 1)
S 0.0000 0.5000 0.0000 (multiplicity 2)

Its crystal system is tetragonal. Its density of states at the Fermi level is 1.06 states/eV/atom.


Which structure wins on stability? *i* wins.


*i*
VASP calculation (PBE) on SrInPS2 after structural relaxation.

Lattice parameters (Å, degrees): 5.6396 5.6396 5.9406 90.00 90.00 90.00
Space group P4/mmm (No. 123)
One atom of each set of equivalent atoms:
Sr 0.0000 0.0000 0.0000 (multiplicity 1)
In 0.5000 0.5000 0.5000 (multiplicity 1)
P 0.0000 0.0000 0.5000 (multiplicity 1)
S 0.0000 0.5000 0.0000 (multiplicity 2)

Its crystal system is tetragonal. Its density of states at the Fermi level is 0.72 states/eV/atom.


*ii*
VASP calculation (PBE) on SrInPS2 after structural relaxation.

Lattice parameters (Å, degrees): 5.1631 5.1631 4.9604 90.00 90.00 90.00
Space group P4/mmm (No. 123)
One atom of each set of equivalent atoms:
Sr 0.0000 0.0000 0.0000 (multiplicity 1)
In 0.5000 0.5000 0.5000 (multiplicity 1)
P 0.5000 0.5000 0.0000 (multiplicity 1)
S 0.0000 0.5000 0.5000 (multiplicity 2)

Its crystal system is tetragonal. Its density of states at the Fermi level is 0.69 states/eV/atom.


Which structure wins on stability? *ii* wins.